DFT (PBE) results for crystalline LiPmSO at its relaxed geometry.

E_form (uncorrected) = -2409 meV/atom
Symmetry = P4/nmm (129)
Calculated volume = 16.875 Å³ per atom
Density = 4.92 Mg/m³

Cell: 3.9367 3.9367 8.7108 Å, 90.00 90.00 90.00°
Last column: nearest neighbours and their distance in Å.
Element x y z (fractional)
Li 0.5000 0.5000 0.0000  4 S 2.45
Li 0.0000 0.0000 0.0000  4 S 2.45
Pm 0.5000 0.0000 0.6380  4 O 2.31
Pm 0.0000 0.5000 0.3620  4 O 2.31
S 0.0000 0.5000 0.8331  4 Li 2.45
S 0.5000 0.0000 0.1669  4 Li 2.45
O 0.0000 0.0000 0.5000  4 Pm 2.31
O 0.5000 0.5000 0.5000  4 Pm 2.31



DFT (PBE) results for crystalline LiPmSO4 at its relaxed geometry.

E_form (uncorrected) = -1931 meV/atom
Symmetry = Imma (74)
Calculated volume = 14.933 Å³ per atom
Density = 3.94 Mg/m³

Cell: 7.3523 6.4890 6.4890 Å, 66.91 55.49 55.49°
Last column: nearest neighbours and their distance in Å.
Element x y z (fractional)
Li 0.5000 0.0000 0.5000  2 O 1.81
Li 0.0000 0.0000 0.5000  2 O 1.81
Pm 0.0000 0.0000 0.0000  6 O 2.32-2.53
Pm 0.0000 0.5000 0.5000  6 O 2.32-2.53
S 0.5801 0.6699 0.1699  2 O 1.50
S 0.4199 0.3301 0.8301  2 O 1.50
O 0.6904 0.7302 0.8890  1 S 1.50
O 0.3096 0.6110 0.7698  1 S 1.50
O 0.6904 0.3890 0.2302  1 S 1.50
O 0.3096 0.2698 0.1110  1 S 1.50
O 0.1709 0.7776 0.2776  1 Li 1.81
O 0.7739 0.7776 0.2776  1 Li 1.81
O 0.2261 0.2224 0.7224  1 Li 1.81
O 0.8291 0.2224 0.7224  1 Li 1.81



DFT (PBE) results for crystalline LiPmSbO at its relaxed geometry.

E_form (uncorrected) = -1503 meV/atom
Symmetry = P4/nmm (129)
Calculated volume = 21.571 Å³ per atom
Density = 5.58 Mg/m³

Cell: 4.6481 4.6481 7.9876 Å, 90.00 90.00 90.00°
Last column: nearest neighbours and their distance in Å.
Element x y z (fractional)
Li 0.5000 0.0000 0.8193  1 O 1.96
Li 0.0000 0.5000 0.1807  1 O 1.96
Pm 0.0000 0.0000 0.5000  4 O 2.40
Pm 0.5000 0.5000 0.5000  4 O 2.40
Sb 0.0000 0.5000 0.8281  1 Li 2.82
Sb 0.5000 0.0000 0.1719  1 Li 2.82
O 0.0000 0.5000 0.4256  1 Li 1.96
O 0.5000 0.0000 0.5744  1 Li 1.96



DFT (PBE) results for crystalline LiPm2SbO5 at its relaxed geometry.

E_form (uncorrected) = -2186 meV/atom
Symmetry = P4/mbm (127)
Calculated volume = 15.867 Å³ per atom
Density = 5.80 Mg/m³

Cell: 6.2706 6.7488 6.7488 Å, 90.00 90.00 90.00°
Last column: nearest neighbours and their distance in Å.
Element x y z (fractional)
Li 0.0000 0.5000 0.5000  10 O 3.06-3.14, 4 Sb 3.37
Li 0.0000 0.0000 0.0000  10 O 3.06-3.14, 4 Sb 3.37
Pm 0.5000 0.6766 0.1766  4 O 2.29-2.49
Pm 0.5000 0.1766 0.3234  4 O 2.29-2.49
Pm 0.5000 0.8234 0.6766  4 O 2.29-2.49
Pm 0.5000 0.3234 0.8234  4 O 2.29-2.49
Sb 0.0000 0.0000 0.5000  4 O 2.13
Sb 0.0000 0.5000 0.0000  4 O 2.13
O 0.5000 0.5000 0.5000  4 Pm 2.49
O 0.5000 0.0000 0.0000  4 Pm 2.49
O 0.2596 0.1434 0.6434  1 Sb 2.13, 1 Pm 2.29
O 0.2596 0.8566 0.3566  1 Sb 2.13, 1 Pm 2.29
O 0.2596 0.3566 0.1434  1 Sb 2.13, 1 Pm 2.29
O 0.2596 0.6434 0.8566  1 Sb 2.13, 1 Pm 2.29
O 0.7404 0.1434 0.6434  1 Sb 2.13, 1 Pm 2.29
O 0.7404 0.6434 0.8566  1 Sb 2.13, 1 Pm 2.29
O 0.7404 0.8566 0.3566  1 Sb 2.13, 1 Pm 2.29
O 0.7404 0.3566 0.1434  1 Sb 2.13, 1 Pm 2.29



DFT (PBE) results for crystalline Li2Pm4Sb3O2 at its relaxed geometry.

E_form (uncorrected) = -1509 meV/atom
Symmetry = I4/mmm (139)
Calculated volume = 25.430 Å³ per atom
Density = 5.88 Mg/m³

Cell: 4.8576 4.8576 12.3423 Å, 101.35 101.35 90.00°
Last column: nearest neighbours and their distance in Å.
Element x y z (fractional)
Li 0.3044 0.3044 0.6087  1 O 2.20
Li 0.6956 0.6956 0.3913  1 O 2.20
Pm 0.4046 0.9046 0.8092  2 O 2.44
Pm 0.9046 0.4046 0.8092  2 O 2.44
Pm 0.0954 0.5954 0.1908  2 O 2.44
Pm 0.5954 0.0954 0.1908  2 O 2.44
Sb 0.0000 0.0000 0.0000  8 Pm 3.32
Sb 0.1827 0.1827 0.3654  1 Li 2.88, 4 Pm 3.19
Sb 0.8173 0.8173 0.6346  1 Li 2.88, 4 Pm 3.19
O 0.3969 0.3969 0.7939  1 Li 2.20, 4 Pm 2.44
O 0.6031 0.6031 0.2061  1 Li 2.20, 4 Pm 2.44



DFT (PBE) results for crystalline LiPm2ScO5 at its relaxed geometry.

E_form (uncorrected) = -3116 meV/atom
Symmetry = Cmc2_1 (36)
Calculated volume = 12.216 Å³ per atom
Density = 6.37 Mg/m³

Cell: 3.3182 6.9170 9.8682 Å, 90.00 90.00 103.88°
Last column: nearest neighbours and their distance in Å.
Element x y z (fractional)
Li 0.5218 0.0436 0.9770  3 O 1.89-1.96
Li 0.4782 0.9564 0.4770  3 O 1.89-1.96
Pm 0.8727 0.7453 0.8002  8 O 2.38-2.59
Pm 0.1082 0.2164 0.6849  8 O 2.41-2.68
Pm 0.1273 0.2547 0.3002  8 O 2.38-2.59
Pm 0.8918 0.7836 0.1849  8 O 2.41-2.68
Sc 0.8019 0.6037 0.5040  6 O 2.01-2.24
Sc 0.1981 0.3963 0.0040  6 O 2.01-2.24
O 0.3603 0.7206 0.0012  1 Sc 2.18, 1 Li 2.18
O 0.6941 0.3881 0.8638  2 Sc 2.16
O 0.4990 0.9980 0.7810  1 Li 1.96
O 0.2860 0.5721 0.6543  2 Sc 2.24, 3 Pm 2.41-2.49
O 0.9465 0.8930 0.5575  2 Li 1.89, 1 Sc 2.01
O 0.6397 0.2794 0.5012  1 Sc 2.18, 1 Li 2.18
O 0.3059 0.6119 0.3638  2 Sc 2.16
O 0.5010 0.0020 0.2810  1 Li 1.96
O 0.7140 0.4279 0.1543  2 Sc 2.24, 3 Pm 2.41-2.49
O 0.0535 0.1070 0.0575  2 Li 1.89, 1 Sc 2.01



DFT (PBE) results for crystalline LiPmSc4O8 at its relaxed geometry.

E_form (uncorrected) = -3274 meV/atom
Symmetry = R3m (160)
Calculated volume = 13.132 Å³ per atom
Density = 4.15 Mg/m³

Cell: 6.4165 6.4165 6.3491 Å, 59.65 59.65 60.00°
Last column: nearest neighbours and their distance in Å.
Element x y z (fractional)
Li 0.0079 0.0079 0.9764  3 O 2.08
Pm 0.3824 0.3824 0.8529  4 O 2.19-2.24
Sc 0.6209 0.6209 0.1372  4 O 2.02-2.10
Sc 0.0016 0.4970 0.4999  6 O 2.08-2.21
Sc 0.4970 0.0016 0.4999  6 O 2.08-2.21
Sc 0.0016 0.0016 0.4999  6 O 2.08-2.21
O 0.2378 0.8012 0.7233  1 Li 2.08, 2 Sc 2.08, 1 Pm 2.19
O 0.8012 0.2378 0.7233  1 Li 2.08, 2 Sc 2.08, 1 Pm 2.19
O 0.2378 0.2378 0.7233  1 Li 2.08, 2 Sc 2.08, 1 Pm 2.19
O 0.2375 0.2375 0.2876  3 Sc 2.14, 1 Pm 2.24
O 0.7410 0.2359 0.2820  3 Sc 2.02-2.17
O 0.2359 0.7410 0.2820  3 Sc 2.02-2.17
O 0.7410 0.7410 0.2820  3 Sc 2.02-2.17
O 0.7566 0.7566 0.7302  4 Sc 2.10-2.21



DFT (PBE) results for crystalline LiPm2SeO6 at its relaxed geometry.

E_form (uncorrected) = -2104 meV/atom
Symmetry = Pmmn (59)
Calculated volume = 11.366 Å³ per atom
Density = 6.89 Mg/m³

Cell: 5.4367 5.4368 7.6907 Å, 90.00 90.00 90.00°
Last column: nearest neighbours and their distance in Å.
Element x y z (fractional)
Li 0.0000 0.7497 0.5000  6 O 1.94-1.95
Li 0.5000 0.2503 0.0000  6 O 1.94-1.95
Pm 0.5000 0.7511 0.2500  12 O 2.71-2.73
Pm 0.0000 0.2489 0.7500  12 O 2.71-2.73
Pm 0.5000 0.7511 0.7500  12 O 2.71-2.73
Pm 0.0000 0.2489 0.2500  12 O 2.71-2.73
Se 0.5000 0.2502 0.5000  6 O 1.90
Se 0.0000 0.7498 0.0000  6 O 1.90
O 0.5000 0.2490 0.2529  1 Se 1.90, 1 Li 1.95
O 0.5000 0.2490 0.7471  1 Se 1.90, 1 Li 1.95
O 0.0000 0.7510 0.2471  1 Se 1.90, 1 Li 1.95
O 0.0000 0.7510 0.7529  1 Se 1.90, 1 Li 1.95
O 0.2528 0.0030 0.5000  1 Se 1.90, 1 Li 1.95
O 0.7472 0.0030 0.5000  1 Se 1.90, 1 Li 1.95
O 0.2530 0.4971 0.5000  1 Se 1.90, 1 Li 1.94
O 0.7470 0.4971 0.5000  1 Se 1.90, 1 Li 1.94
O 0.7530 0.5029 0.0000  1 Se 1.90, 1 Li 1.94
O 0.2470 0.5029 0.0000  1 Se 1.90, 1 Li 1.94
O 0.2472 0.9970 0.0000  1 Se 1.90, 1 Li 1.95
O 0.7528 0.9970 0.0000  1 Se 1.90, 1 Li 1.95



DFT (PBE) results for crystalline LiPmSeO at its relaxed geometry.

E_form (uncorrected) = -2369 meV/atom
Symmetry = P4/nmm (129)
Calculated volume = 18.239 Å³ per atom
Density = 5.62 Mg/m³

Cell: 4.0140 4.0140 9.0560 Å, 90.00 90.00 90.00°
Last column: nearest neighbours and their distance in Å.
Element x y z (fractional)
Li 0.5000 0.5000 0.0000  4 Se 2.56, 4 Li 2.84
Li 0.0000 0.0000 0.0000  4 Se 2.56, 4 Li 2.84
Pm 0.5000 0.0000 0.6292  4 O 2.32
Pm 0.0000 0.5000 0.3708  4 O 2.32
Se 0.0000 0.5000 0.8250  4 Li 2.56
Se 0.5000 0.0000 0.1750  4 Li 2.56
O 0.0000 0.0000 0.5000  4 Pm 2.32
O 0.5000 0.5000 0.5000  4 Pm 2.32



DFT (PBE) results for crystalline LiPmSe2O8 at its relaxed geometry.

E_form (uncorrected) = -1495 meV/atom
Symmetry = I-4m2 (119)
Calculated volume = 13.986 Å³ per atom
Density = 4.33 Mg/m³

Cell: 6.0420 6.0420 6.0420 Å, 106.05 106.05 116.54°
Last column: nearest neighbours and their distance in Å.
Element x y z (fractional)
Li 0.2500 0.7500 0.5000  8 O 2.39-2.50
Pm 0.0000 0.0000 0.0000  8 O 2.39-2.49
Se 0.7500 0.2500 0.5000  4 O 1.67
Se 0.5000 0.5000 0.0000  4 O 1.68
O 0.4071 0.0865 0.3206  1 Se 1.67
O 0.3336 0.5131 0.1795  1 Se 1.68
O 0.3336 0.1541 0.8205  1 Se 1.68
O 0.7659 0.0865 0.6794  1 Se 1.67
O 0.8459 0.6664 0.1795  1 Se 1.68
O 0.9135 0.2341 0.3206  1 Se 1.67
O 0.9135 0.5929 0.6794  1 Se 1.67
O 0.4869 0.6664 0.8205  1 Se 1.68